Entry 1:
## Na2Be2F7 (GGA-PBE)

Data for a relaxed structure of Na2Be2F7.

The space group is C2/m (No. 12) and the conventional cell measures 6.967, 8.726 and 4.792 Å, with angles of 90.00, 100.04 and 90.00 degrees. The inequivalent atoms are Na at (0.000, 0.195, 0.000), Be at (0.213, 0.500, 0.424), F at (0.000, 0.500, 0.500), F at (0.142, 0.000, 0.293) and F at (0.236, 0.357, 0.240).

For the final energy, the calculation gives -4.887 eV/atom. As for the total magnetic moment: 2.09 μB/cell. Its density of states at the Fermi level is 20.78 states/eV/cell. The calculation puts the calculated volume at 286.9 Å³/cell.

Entry 2:
## PmSmEr2Sb4 (GGA-PBE)

Data for a relaxed structure of PmSmEr2Sb4.

The space group is P2/m (No. 10) and the conventional cell measures 7.646, 4.422 and 7.653 Å, with angles of 90.00, 109.49 and 90.00 degrees. The inequivalent atoms are Pm at (0.000, 0.000, 0.000), Sm at (0.000, 0.500, 0.500), Er at (0.500, 0.000, 0.500), Er at (0.500, 0.500, 0.000), Sb at (0.258, 0.000, 0.752) and Sb at (0.259, 0.500, 0.254).

For the final energy, the calculation gives -5.521 eV/atom. As for the total magnetic moment: 0.00 μB/cell. Its density of states at the Fermi level is 1.10 states/eV/cell. The calculation puts the calculated volume at 243.9 Å³/cell.

Entry 3:
## Pr3AuC (GGA-PBE)

Data for a relaxed structure of Pr3AuC.

The space group is Pnma (No. 62) and the conventional cell measures 8.998, 3.854 and 14.765 Å, with angles of 90.00, 90.00 and 90.00 degrees. The inequivalent atoms are Pr at (0.015, 0.250, 0.103), Pr at (0.176, 0.250, 0.520), Pr at (0.198, 0.750, 0.305), Au at (0.092, 0.750, 0.681) and C at (0.159, 0.250, 0.949).

For the final energy, the calculation gives -5.705 eV/atom. As for the total magnetic moment: 0.00 μB/cell. As for the energy of formation: -0.34 eV per atom. Its density of states at the Fermi level is 20.65 states/eV/cell. The calculation puts the calculated volume at 512.0 Å³/cell.

Q: The highest total magnetic moment belongs to which entry?
A: Na2Be2F7

Repeat the third record exactly.
## Pr3AuC (GGA-PBE)

Data for a relaxed structure of Pr3AuC.

The space group is Pnma (No. 62) and the conventional cell measures 8.998, 3.854 and 14.765 Å, with angles of 90.00, 90.00 and 90.00 degrees. The inequivalent atoms are Pr at (0.015, 0.250, 0.103), Pr at (0.176, 0.250, 0.520), Pr at (0.198, 0.750, 0.305), Au at (0.092, 0.750, 0.681) and C at (0.159, 0.250, 0.949).

For the final energy, the calculation gives -5.705 eV/atom. As for the total magnetic moment: 0.00 μB/cell. As for the energy of formation: -0.34 eV per atom. Its density of states at the Fermi level is 20.65 states/eV/cell. The calculation puts the calculated volume at 512.0 Å³/cell.